{
  "formula": "LiTl2Ge2",
  "functional": "PBE",
  "state": "optimized geometry",
  "polymorph_energy_ev_per_atom": 0.102,
  "formation_energy_ev_per_atom": 0.184,
  "density_kg_m3": 7460,
  "lattice": [[7.7766, 0.0000, 0.0000], [0.0000, 7.7766, 0.0000], [0.0000, 0.0000, 4.1298]],
  "species": ["Tl", "Tl", "Tl", "Tl", "Ge", "Ge", "Ge", "Ge", "Li", "Li"],
  "frac_coords": [[0.3279, 0.8279, 0.0000], [0.8279, 0.6721, 0.0000], [0.6721, 0.1721, 0.0000], [0.1721, 0.3279, 0.0000], [0.1216, 0.6216, 0.5000], [0.6216, 0.8784, 0.5000], [0.8784, 0.3784, 0.5000], [0.3784, 0.1216, 0.5000], [0.0000, 0.0000, 0.0000], [0.5000, 0.5000, 0.0000]]
}